TaTiOs2 after structural relaxation. Source: Alexandria via LeMat-Bulk, functional PBE-GGA. Values from VASP.

The structure in Quantum ESPRESSO input format:
```
&SYSTEM
  ibrav = 0, nat = 4, ntyp = 3
/
ATOMIC_SPECIES
Ta 180.95 Ta.upf
Ti 47.87 Ti.upf
Os 190.23 Os.upf
CELL_PARAMETERS angstrom
0.000 3.142 3.142
3.142 0.000 3.142
3.142 3.142 0.000
ATOMIC_POSITIONS crystal
Ta 0.000 0.000 0.000
Ti 0.500 0.500 0.500
Os 0.250 0.250 0.250
Os 0.750 0.750 0.750
```

Its space group is Fm-3m (225). For the formation energy, the calculation gives -0.4920 eV per atom. The density of states at the Fermi level comes out at 0.733 states/eV/atom. The crystal system is cubic.